No. 1
Compound: BaIn2Pb2
Source: Alexandria via LeMat-Bulk
Functional: PBE
Structure: relaxed

Properties
* V: 342 Å³ per cell
* Fermi-level density of states: 3.98 states/eV per cell
* E above lowest polymorph: 0 meV/atom
* final energy: -3.26 eV per atom

Unit cell a=5.441 b=5.441 c=11.546 alpha=90.00 beta=90.00 gamma=90.00
Space group I4/mmm (No. 139)
Asymmetric unit:
Ba (0.000, 0.000, 0.000) [2 per cell]
In (0.000, 0.000, 0.377) [4 per cell]
Pb (0.000, 0.500, 0.250) [4 per cell]


No. 2
Compound: BaIn2Pb4
Source: Alexandria via LeMat-Bulk
Functional: PBE
Structure: relaxed

Properties
* V: 472 Å³ per cell
* Fermi-level density of states: 8.30 states/eV per cell
* final energy: -3.36 eV per atom

Unit cell a=4.936 b=19.295 c=4.960 alpha=90.00 beta=90.00 gamma=90.00
Space group Cmmm (No. 65)
Asymmetric unit:
Ba (0.000, 0.000, 0.000) [2 per cell]
In (0.000, 0.425, 0.500) [4 per cell]
Pb (0.000, 0.178, 0.500) [4 per cell]
Pb (0.000, 0.323, 0.000) [4 per cell]


No. 3
Compound: Ba2In3Pb2
Source: Alexandria via LeMat-Bulk
Functional: PBE
Structure: relaxed

Properties
* V: 478 Å³ per cell
* Fermi-level density of states: 7.01 states/eV per cell
* final energy: -3.18 eV per atom

Unit cell a=12.508 b=5.099 c=7.950 alpha=90.00 beta=109.46 gamma=90.00
Space group C2/m (No. 12)
Asymmetric unit:
Ba (0.142, 0.000, 0.274) [4 per cell]
In (0.000, 0.500, 0.500) [2 per cell]
In (0.093, 0.500, 0.921) [4 per cell]
Pb (0.162, 0.000, 0.762) [4 per cell]


No. 4
Compound: BaInPb
Source: Alexandria via LeMat-Bulk
Functional: PBE
Structure: relaxed

Properties
* V: 475 Å³ per cell
* Fermi-level density of states: 9.82 states/eV per cell
* final energy: -3.09 eV per atom

Unit cell a=7.802 b=7.802 c=7.802 alpha=90.00 beta=90.00 gamma=90.00
Space group F-43m (No. 216)
Asymmetric unit:
Ba (0.000, 0.000, 0.000) [4 per cell]
In (0.250, 0.250, 0.250) [4 per cell]
Pb (0.000, 0.000, 0.500) [4 per cell]


No. 5
Compound: BaIn2Pb6
Source: Alexandria via LeMat-Bulk
Functional: PBE
Structure: relaxed

Properties
* V: 641 Å³ per cell
* Fermi-level density of states: 7.35 states/eV per cell
* final energy: -3.36 eV per atom

Unit cell a=16.084 b=8.297 c=4.849 alpha=90.00 beta=98.10 gamma=90.00
Space group C2/m (No. 12)
Asymmetric unit:
Ba (0.000, 0.000, 0.000) [2 per cell]
In (0.115, 0.500, 0.066) [4 per cell]
Pb (0.000, 0.316, 0.500) [4 per cell]
Pb (0.193, 0.194, 0.716) [8 per cell]


No. 6
Compound: BaIn3Pb
Source: Alexandria via LeMat-Bulk
Functional: PBE
Structure: relaxed

Properties
* V: 241 Å³ per cell
* Fermi-level density of states: 2.87 states/eV per cell
* E above lowest polymorph: 1051 meV/atom
* final energy: -2.00 eV per atom

Unit cell a=6.223 b=6.223 c=6.223 alpha=90.00 beta=90.00 gamma=90.00
Space group Pm-3m (No. 221)
Asymmetric unit:
Ba (0.000, 0.000, 0.000) [1 per cell]
In (0.000, 0.000, 0.500) [3 per cell]
Pb (0.500, 0.500, 0.500) [1 per cell]


No. 7
Compound: BaInPb2
Source: Alexandria via LeMat-Bulk
Functional: PBE
Structure: relaxed

Properties
* V: 274 Å³ per cell
* Fermi-level density of states: 5.15 states/eV per cell
* final energy: -3.18 eV per atom

Unit cell a=7.028 b=11.844 c=3.670 alpha=90.00 beta=116.08 gamma=90.00
Space group C2/m (No. 12)
Asymmetric unit:
Ba (0.000, 0.000, 0.000) [2 per cell]
In (0.000, 0.500, 0.000) [2 per cell]
Pb (0.250, 0.250, 0.500) [4 per cell]


No. 8
Compound: BaInPb3
Source: Alexandria via LeMat-Bulk
Functional: PBE
Structure: relaxed

Properties
* V: 254 Å³ per cell
* Fermi-level density of states: 5.84 states/eV per cell
* E above lowest polymorph: 1022 meV/atom
* final energy: -2.39 eV per atom

Unit cell a=6.336 b=6.336 c=6.336 alpha=90.00 beta=90.00 gamma=90.00
Space group Pm-3m (No. 221)
Asymmetric unit:
Ba (0.000, 0.000, 0.000) [1 per cell]
In (0.500, 0.500, 0.500) [1 per cell]
Pb (0.000, 0.000, 0.500) [3 per cell]


No. 9
Compound: Ba5In2Pb5
Source: Alexandria via LeMat-Bulk
Functional: PBE
Structure: relaxed

Properties
* V: 928 Å³ per cell
* Fermi-level density of states: 9.86 states/eV per cell
* final energy: -3.28 eV per atom

Unit cell a=18.024 b=5.405 c=12.468 alpha=90.00 beta=130.19 gamma=90.00
Space group C2/m (No. 12)
Asymmetric unit:
Ba (0.000, 0.000, 0.000) [2 per cell]
Ba (0.087, 0.000, 0.410) [4 per cell]
Ba (0.199, 0.000, 0.821) [4 per cell]
In (0.154, 0.500, 0.309) [4 per cell]
Pb (0.000, 0.500, 0.500) [2 per cell]
Pb (0.064, 0.500, 0.847) [4 per cell]
Pb (0.239, 0.500, 0.652) [4 per cell]


No. 10
Compound: BaIn2Pb2
Source: Alexandria via LeMat-Bulk
Functional: PBE
Structure: relaxed

Properties
* V: 337 Å³ per cell
* Fermi-level density of states: 4.54 states/eV per cell
* E above lowest polymorph: 51 meV/atom
* final energy: -3.21 eV per atom

Unit cell a=6.633 b=6.721 c=8.785 alpha=73.62 beta=73.28 gamma=66.02
Space group P-1 (No. 2)
Asymmetric unit:
Ba (0.169, 0.229, 0.229) [2 per cell]
In (0.069, 0.228, 0.666) [2 per cell]
In (0.417, 0.335, 0.806) [2 per cell]
Pb (0.240, 0.782, 0.970) [2 per cell]
Pb (0.426, 0.773, 0.548) [2 per cell]


No. 11
Compound: BaIn6Pb
Source: Alexandria via LeMat-Bulk
Functional: PBE
Structure: relaxed

Properties
* V: 240 Å³ per cell
* Fermi-level density of states: 2.66 states/eV per cell
* final energy: -2.90 eV per atom

Unit cell a=5.379 b=8.292 c=5.390 alpha=90.00 beta=90.00 gamma=90.00
Space group Pmm2 (No. 25)
Asymmetric unit:
Ba (0.000, 0.000, 0.000) [1 per cell]
In (0.000, 0.281, 0.500) [2 per cell]
In (0.000, 0.500, 0.998) [1 per cell]
In (0.500, 0.000, 0.490) [1 per cell]
In (0.500, 0.281, 0.966) [2 per cell]
Pb (0.500, 0.500, 0.465) [1 per cell]


No. 12
Compound: BaInPb2
Source: Alexandria via LeMat-Bulk
Functional: PBE
Structure: relaxed

Properties
* V: 272 Å³ per cell
* Fermi-level density of states: 4.76 states/eV per cell
* final energy: -3.24 eV per atom

Unit cell a=7.184 b=10.079 c=3.759 alpha=90.00 beta=90.00 gamma=90.00
Space group Cmmm (No. 65)
Asymmetric unit:
Ba (0.000, 0.000, 0.000) [2 per cell]
In (0.000, 0.500, 0.000) [2 per cell]
Pb (0.250, 0.250, 0.500) [4 per cell]


What is the V in the second record?
472 Å³ per cell


Which of these has the highest Fermi-level density of states?
Ba5In2Pb5


Fermi-level density of states of number 8 (BaInPb3)?
5.84 states/eV per cell